(1)
An optimized crystal structure of Be2FeAgOs, computed with PBE-GGA.

For the total DFT energy (no corrections), the calculation gives -4.55 eV/atom. The value obtained for the density of states at the Fermi level is 0.64 states/eV per atom. Its symmetry is P4/mmm (123). The calculation puts the formation enthalpy at 0 K at 1.45 eV per atom.

Cell: 3.9728 3.9728 4.5610 Å, 90.00 90.00 90.00°
Atoms (fractional coordinates):
Be 0.0000 0.5000 0.0000
Be 0.5000 0.0000 0.0000
Fe 0.0000 0.0000 0.0000
Ag 0.0000 0.0000 0.5000
Os 0.5000 0.5000 0.5000



(2)
An optimized crystal structure of VAgAu2, computed with PBE-GGA.

For the total DFT energy (no corrections), the calculation gives -4.51 eV/atom. The value obtained for the density of states at the Fermi level is 0.95 states/eV per atom. Its symmetry is P4/mmm (123). The calculation puts the formation enthalpy at 0 K at 0.12 eV per atom.

Cell: 4.7868 4.7868 3.0722 Å, 90.00 90.00 90.00°
Atoms (fractional coordinates):
V 0.0000 0.0000 0.0000
Ag 0.5000 0.5000 0.0000
Au 0.0000 0.5000 0.5000
Au 0.5000 0.0000 0.5000



(3)
An optimized crystal structure of K2TcMo, computed with PBE-GGA.

For the total DFT energy (no corrections), the calculation gives -4.80 eV/atom. The value obtained for the density of states at the Fermi level is 1.06 states/eV per atom. Its symmetry is Imm2 (44). The value obtained for the excess energy over the best structure of this formula in the dataset is 6.23 kcal/mol of atoms. The calculation puts the formation enthalpy at 0 K at 1.05 eV per atom.

Cell: 6.8744 6.8744 6.8744 Å, 151.51 125.27 62.85°
Atoms (fractional coordinates):
K 0.0000 0.0000 0.0000
K 0.7072 0.2072 0.5000
Tc 0.4257 0.4257 0.0000
Mo 0.2951 0.7951 0.5000



(4)
An optimized crystal structure of BaTbW2N6, computed with PBE-GGA.

For the total DFT energy (no corrections), the calculation gives -8.88 eV/atom. The value obtained for the density of states at the Fermi level is 0.53 states/eV per atom. Its symmetry is C2/c (15).

Cell: 7.8640 7.8640 6.6467 Å, 105.89 105.89 87.89°
Atoms (fractional coordinates):
Ba 0.0986 0.9014 0.7500
Ba 0.9014 0.0986 0.2500
Tb 0.2845 0.7155 0.2500
Tb 0.7155 0.2845 0.7500
W 0.2168 0.3755 0.8202
W 0.3755 0.2168 0.3202
W 0.6245 0.7832 0.6798
W 0.7832 0.6245 0.1798
N 0.0015 0.7428 0.3015
N 0.1811 0.6091 0.8709
N 0.2572 0.9985 0.1985
N 0.3076 0.3625 0.1167
N 0.3625 0.3076 0.6167
N 0.3909 0.8189 0.6291
N 0.6091 0.1811 0.3709
N 0.6375 0.6924 0.3833
N 0.6924 0.6375 0.8833
N 0.7428 0.0015 0.8015
N 0.8189 0.3909 0.1291
N 0.9985 0.2572 0.6985